No. 1
RbSc2Se3 after structural relaxation. Source: Alexandria via LeMat-Bulk, functional PBE.

Summary:
Distance to the lowest polymorph of the same formula, eV/f.u.: 0.00
ΔE_f (raw), eV/atom: -1.51
Density, g/cm³: 3.9
Total energy, eV per atom: -5.53

Unit cell a=4.215 b=8.153 c=10.658 alpha=90.00 beta=90.00 gamma=104.98
Atoms (fractional coordinates):
1 Sc 0.465 0.931 0.750
2 Se 0.383 0.765 0.955
3 Rb 0.260 0.520 0.250
4 Sc 0.535 0.069 0.250
5 Sc 0.000 0.000 0.500
6 Sc 0.000 0.000 0.000
7 Se 0.617 0.235 0.045
8 Se 0.383 0.765 0.545
9 Se 0.060 0.120 0.750
10 Se 0.940 0.880 0.250
11 Rb 0.740 0.480 0.750
12 Se 0.617 0.235 0.455



No. 2
PtAuO4 after structural relaxation. Source: Alexandria via LeMat-Bulk, functional PBE.

Summary:
ΔE_f (raw), eV/atom: 0.12
Density, g/cm³: 7.9
Total energy, eV per atom: -4.74

Unit cell a=5.590 b=5.590 c=6.188 alpha=90.00 beta=90.00 gamma=85.21
Atoms (fractional coordinates):
1 Pt 0.500 0.500 0.250
2 O 0.654 0.654 0.000
3 O 0.346 0.346 0.000
4 O 0.750 0.251 0.250
5 O 0.749 0.250 0.750
6 O 0.654 0.654 0.500
7 Au 0.000 0.000 0.750
8 Pt 0.500 0.500 0.750
9 O 0.250 0.749 0.750
10 Au 0.000 0.000 0.250
11 O 0.251 0.750 0.250
12 O 0.346 0.346 0.500



No. 3
Os2RhPb after structural relaxation. Source: Alexandria via LeMat-Bulk, functional PBE.

Summary:
E_form, eV/atom: 0.525
Density, g/cm³: 17.1
Total energy, eV per atom: -7.85

Unit cell a=3.845 b=2.890 c=6.058 alpha=87.10 beta=90.00 gamma=90.00
Atoms (fractional coordinates):
1 Os 0.500 0.472 0.201
2 Os 0.000 0.984 0.022
3 Rh 0.500 0.521 0.763
4 Pb 0.000 0.024 0.514



No. 4
Ce12Hg6Rh after structural relaxation. Source: Alexandria via LeMat-Bulk, functional PBE.

Summary:
E_form, eV/atom: -0.155
Density, g/cm³: 10.1
Total energy, eV per atom: -4.38

Unit cell a=7.889 b=7.889 c=7.889 alpha=89.40 beta=89.40 gamma=89.40
Atoms (fractional coordinates):
1 Hg 0.731 0.265 0.093
2 Ce 0.142 0.350 0.066
3 Ce 0.227 0.492 0.587
4 Hg 0.093 0.731 0.265
5 Rh 0.000 0.000 0.000
6 Ce 0.587 0.227 0.492
7 Ce 0.492 0.587 0.227
8 Ce 0.650 0.934 0.858
9 Ce 0.773 0.508 0.413
10 Hg 0.265 0.093 0.731
11 Ce 0.350 0.066 0.142
12 Hg 0.269 0.735 0.907
13 Hg 0.735 0.907 0.269
14 Ce 0.934 0.858 0.650
15 Ce 0.066 0.142 0.350
16 Ce 0.508 0.413 0.773
17 Ce 0.858 0.650 0.934
18 Ce 0.413 0.773 0.508
19 Hg 0.907 0.269 0.735